This record from Alexandria describes an optimized crystal structure of BeCu2Si. The functional is PBE.

Output
mass density: 5.360 g cm⁻³
total DFT energy (no corrections): -32.527 eV per cell
E_form (uncorrected): 0.269 eV/atom

Unit cell a=8.412 b=8.412 c=8.412 alpha=155.56 beta=155.56 gamma=34.83
Sites, in units of the cell vectors:
Be1 0.000 0.000 0.000
Be2 0.750 0.250 0.500
Cu1 0.120 0.625 0.995
Cu2 0.375 0.370 0.495
Cu3 0.630 0.125 0.005
Cu4 0.875 0.880 0.505
Si1 0.250 0.750 0.500
Si2 0.500 0.500 0.000